Entry from Alexandria via LeMat-Bulk: Tl4HgO after structural relaxation (GGA-PBE).

Cell: 6.3379 6.5204 9.2951 Å, 90.00 90.00 97.14°
With the nearest neighbours (Å) after each atom.
Fractional positions:
Tl (0.2872, 0.6361, 0.4405)  1 O 2.40
Tl (0.7128, 0.3639, 0.9405)  1 O 2.40
Tl (0.1389, 0.1678, 0.7500)  1 O 2.36
Tl (0.4517, 0.1774, 0.2500)  1 O 2.39
Tl (0.2872, 0.6361, 0.0595)  1 O 2.40
Tl (0.8611, 0.8322, 0.2500)  1 O 2.36
Tl (0.5483, 0.8226, 0.7500)  1 O 2.39
Tl (0.7128, 0.3639, 0.5595)  1 O 2.40
Hg (0.9713, 0.3148, 0.2500)  7 Tl 3.14-3.35
Hg (0.0287, 0.6852, 0.7500)  7 Tl 3.14-3.35
O (0.5130, 0.1832, 0.7500)  4 Tl 2.36-2.40
O (0.4870, 0.8168, 0.2500)  4 Tl 2.36-2.40

Uncorrected formation energy in kJ/mol of formula units: -112
Density of states at the Fermi level in states/eV per cell: 4.94

---

Entry from Alexandria via LeMat-Bulk: Tl5Hg2O2 after structural relaxation (GGA-PBE).

Cell: 6.5004 6.7153 6.8200 Å, 90.54 69.94 107.10°
With the nearest neighbours (Å) after each atom.
Fractional positions:
Tl (0.6686, 0.9985, 0.6569)  2 O 2.35-2.37
Tl (0.1500, 0.5114, 0.7323)  1 O 2.28
Tl (0.0000, 0.0000, 0.0000)  2 O 2.66
Tl (0.8500, 0.4886, 0.2677)  1 O 2.28
Tl (0.3314, 0.0015, 0.3431)  2 O 2.35-2.37
O (0.2802, 0.8675, 0.6789)  3 Tl 2.28-2.37
O (0.7198, 0.1325, 0.3211)  3 Tl 2.28-2.37
Hg (0.6344, 0.4969, 0.7669)  1 Hg 3.07, 4 Tl 3.21-3.38
Hg (0.3656, 0.5032, 0.2331)  1 Hg 3.07, 4 Tl 3.21-3.38

Uncorrected formation energy in kJ/mol of formula units: -294
Density of states at the Fermi level in states/eV per cell: 1.45

---

Entry from Alexandria via LeMat-Bulk: TlHg2O2 after structural relaxation (GGA-PBE).

Cell: 6.5026 7.8439 7.4102 Å, 67.94 63.90 47.48°
With the nearest neighbours (Å) after each atom.
Fractional positions:
O (0.7472, 0.2792, 0.2864)  2 Hg 2.04-2.23
O (0.5227, 0.1634, 0.0613)  1 Hg 2.04
O (0.4773, 0.8366, 0.9387)  1 Hg 2.04
O (0.2528, 0.7208, 0.7136)  2 Hg 2.04-2.23
Hg (0.6674, 0.3804, 0.7651)  2 O 2.23-2.48
Hg (0.1369, 0.2196, 0.1624)  2 O 2.04
Hg (0.3325, 0.6196, 0.2349)  2 O 2.23-2.48
Hg (0.8631, 0.7804, 0.8376)  2 O 2.04
Tl (0.7373, 0.9790, 0.3205)  2 O 2.30-2.31
Tl (0.2627, 0.0210, 0.6795)  2 O 2.30-2.31

Uncorrected formation energy in kJ/mol of formula units: -127
Density of states at the Fermi level in states/eV per cell: 0.30

---

Entry from Alexandria via LeMat-Bulk: Tl2HgO4 after structural relaxation (GGA-PBE).

Cell: 3.5106 11.0569 11.7335 Å, 90.00 90.00 90.00°
With the nearest neighbours (Å) after each atom.
Fractional positions:
O (0.7500, 0.2265, 0.7473)  3 Tl 2.28-2.35, 1 Hg 2.41
O (0.2500, 0.4726, 0.6069)  4 Tl 2.30-2.45
O (0.2500, 0.7735, 0.2527)  3 Tl 2.28-2.35, 1 Hg 2.41
O (0.7500, 0.7647, 0.0478)  1 Hg 2.07, 2 Tl 2.31
O (0.2500, 0.2735, 0.2473)  3 Tl 2.28-2.35, 1 Hg 2.41
O (0.7500, 0.4587, 0.8504)  1 Hg 2.06, 2 Tl 2.29
O (0.7500, 0.5274, 0.3931)  4 Tl 2.30-2.45
O (0.2500, 0.7353, 0.5478)  1 Hg 2.07, 2 Tl 2.31
O (0.2500, 0.2353, 0.9522)  1 Hg 2.07, 2 Tl 2.31
O (0.2500, 0.9726, 0.8931)  4 Tl 2.30-2.45
O (0.2500, 0.5413, 0.1496)  1 Hg 2.06, 2 Tl 2.29
O (0.2500, 0.0413, 0.3504)  1 Hg 2.06, 2 Tl 2.29
O (0.7500, 0.0274, 0.1069)  4 Tl 2.30-2.45
O (0.7500, 0.7265, 0.7527)  3 Tl 2.28-2.35, 1 Hg 2.41
O (0.7500, 0.9587, 0.6496)  1 Hg 2.06, 2 Tl 2.29
O (0.7500, 0.2647, 0.4522)  1 Hg 2.07, 2 Tl 2.31
Tl (0.2500, 0.3938, 0.4119)  6 O 2.30-2.45
Tl (0.7500, 0.1062, 0.9119)  6 O 2.30-2.45
Tl (0.2500, 0.8554, 0.7276)  6 O 2.28-2.49
Tl (0.2500, 0.8938, 0.0881)  6 O 2.30-2.45
Tl (0.7500, 0.6062, 0.5881)  6 O 2.30-2.45
Tl (0.7500, 0.6446, 0.2276)  6 O 2.28-2.49
Tl (0.2500, 0.3554, 0.7724)  6 O 2.28-2.49
Tl (0.7500, 0.1446, 0.2725)  6 O 2.28-2.49
Hg (0.7500, 0.6227, 0.9330)  2 O 2.06-2.07
Hg (0.7500, 0.1227, 0.5670)  2 O 2.06-2.07
Hg (0.2500, 0.3773, 0.0670)  2 O 2.06-2.07
Hg (0.2500, 0.8773, 0.4330)  2 O 2.06-2.07

Uncorrected formation energy in kJ/mol of formula units: -360
Density of states at the Fermi level in states/eV per cell: 3.40

---

Entry from Alexandria via LeMat-Bulk: TlHgO3 after structural relaxation (GGA-PBE).

Cell: 4.1936 4.1936 4.1936 Å, 90.00 90.00 90.00°
With the nearest neighbours (Å) after each atom.
Fractional positions:
O (0.0000, 0.5000, 0.0000)  2 Tl 2.10
O (0.0000, 0.0000, 0.5000)  2 Tl 2.10
O (0.5000, 0.0000, 0.0000)  2 Tl 2.10
Tl (0.0000, 0.0000, 0.0000)  6 O 2.10
Hg (0.5000, 0.5000, 0.5000)  12 O 2.97

Uncorrected formation energy in kJ/mol of formula units: 110
Density of states at the Fermi level in states/eV per cell: 1.56

---

Entry from Alexandria via LeMat-Bulk: Tl7Hg2O2 after structural relaxation (GGA-PBE).

Cell: 6.8863 6.8863 7.7678 Å, 85.71 85.71 103.00°
With the nearest neighbours (Å) after each atom.
Fractional positions:
Tl (0.5017, 0.9251, 0.8027)  1 O 2.38
Tl (0.4049, 0.4049, 0.7988)  2 O 2.46-2.47
Tl (0.4983, 0.0749, 0.1973)  1 O 2.38
Tl (0.0749, 0.4983, 0.1973)  1 O 2.38
Tl (0.0000, 0.0000, 0.0000)  2 O 3.04
Tl (0.9251, 0.5017, 0.8027)  1 O 2.38
Tl (0.5951, 0.5951, 0.2012)  2 O 2.46-2.47
Hg (0.7399, 0.2601, 0.5000)  6 Tl 3.16-3.51
Hg (0.2601, 0.7399, 0.5000)  6 Tl 3.16-3.51
O (0.6728, 0.6728, 0.8853)  4 Tl 2.38-2.47
O (0.3272, 0.3272, 0.1147)  4 Tl 2.38-2.47

Uncorrected formation energy in kJ/mol of formula units: -232
Density of states at the Fermi level in states/eV per cell: 4.05

---

Entry from Alexandria via LeMat-Bulk: TlHgO3 after structural relaxation (GGA-PBE).

Cell: 4.1869 4.1869 4.1869 Å, 90.00 90.00 90.00°
With the nearest neighbours (Å) after each atom.
Fractional positions:
O (0.0000, 0.5000, 0.0000)  2 Hg 2.09
O (0.5000, 0.0000, 0.0000)  2 Hg 2.09
O (0.0000, 0.0000, 0.5000)  2 Hg 2.09
Tl (0.5000, 0.5000, 0.5000)  12 O 2.96
Hg (0.0000, 0.0000, 0.0000)  6 O 2.09

Uncorrected formation energy in kJ/mol of formula units: 103
Density of states at the Fermi level in states/eV per cell: 1.89

---

Entry from Alexandria via LeMat-Bulk: TlHgO after structural relaxation (GGA-PBE).

Cell: 3.7897 5.5424 9.2541 Å, 58.58 101.17 89.75°
With the nearest neighbours (Å) after each atom.
Fractional positions:
O (0.6716, 0.0995, 0.3362)  1 Hg 2.07
O (0.3284, 0.9005, 0.6638)  1 Hg 2.07
Tl (0.1884, 0.3491, 0.3753)  3 O 2.47-2.48
Tl (0.8116, 0.6509, 0.6247)  3 O 2.47-2.48
Hg (0.5689, 0.0281, 0.1339)  1 O 2.07
Hg (0.4311, 0.9719, 0.8661)  1 O 2.07

Uncorrected formation energy in kJ/mol of formula units: -127
Energy above the lowest structure with this stoichiometry in eV per atom: 0.000

---

Entry from Alexandria via LeMat-Bulk: Tl7HgO4 after structural relaxation (GGA-PBE).

Cell: 6.2210 6.4130 15.2443 Å, 90.00 90.00 90.00°
With the nearest neighbours (Å) after each atom.
Fractional positions:
Tl (0.9798, 0.6420, 0.1188)  2 O 2.35-2.38
Tl (0.4826, 0.8086, 0.2657)  3 O 2.35-2.40
Tl (0.9826, 0.1914, 0.2343)  3 O 2.35-2.40
Tl (0.4798, 0.3580, 0.3812)  2 O 2.35-2.38
Tl (0.4678, 0.3086, 0.1231)  2 O 2.44-2.46
Tl (0.4501, 0.8292, 0.0000)  2 O 2.47
Tl (0.4798, 0.3580, 0.6188)  2 O 2.35-2.38
Tl (0.9678, 0.6914, 0.3769)  2 O 2.44-2.46
Tl (0.9678, 0.6914, 0.6231)  2 O 2.44-2.46
Tl (0.4678, 0.3086, 0.8769)  2 O 2.44-2.46
Tl (0.9798, 0.6420, 0.8812)  2 O 2.35-2.38
Tl (0.9826, 0.1914, 0.7657)  3 O 2.35-2.40
Tl (0.9501, 0.1708, 0.5000)  2 O 2.47
Tl (0.4826, 0.8086, 0.7343)  3 O 2.35-2.40
O (0.1043, 0.3353, 0.3674)  4 Tl 2.35-2.47
O (0.6043, 0.6647, 0.1326)  4 Tl 2.35-2.47
O (0.1033, 0.8437, 0.7604)  4 Tl 2.35-2.46
O (0.1033, 0.8437, 0.2396)  4 Tl 2.35-2.46
O (0.6033, 0.1563, 0.2604)  4 Tl 2.35-2.46
O (0.6043, 0.6647, 0.8674)  4 Tl 2.35-2.47
O (0.6033, 0.1563, 0.7396)  4 Tl 2.35-2.46
O (0.1043, 0.3353, 0.6326)  4 Tl 2.35-2.47
Hg (0.4292, 0.8826, 0.5000)  10 Tl 3.51-3.83
Hg (0.9292, 0.1174, 0.0000)  10 Tl 3.51-3.83

Uncorrected formation energy in kJ/mol of formula units: -563
Density of states at the Fermi level in states/eV per cell: 10.83